No. 1
## CrMoOs2 (PBE)

Data for a relaxed structure of CrMoOs2.

Calculated values
DFT formation energy = 0.54 eV/f.u.
SG = Cm (8)
Volume = 57.1 Å³/f.u.
Uncorrected energy = -10.593 eV per atom
Total magnetization = 0.0 μB/cell
Mass density = 15.37 g cm⁻³
Density of states at the Fermi level = 0.846 states/eV per atom
Excess energy over the best structure of this formula in the dataset = 5.2 kJ per mole of atoms

Cell: 4.7153 4.7153 4.6948 Å, 99.35 99.35 33.71°
Positions (direct):
1 Cr 0.0000 0.0000 0.0000
2 Mo 0.2405 0.2405 0.7382
3 Os 0.4876 0.4876 0.4710
4 Os 0.7436 0.7436 0.2373


No. 2
## CrMoOs2 (PBE)

Data for a relaxed structure of CrMoOs2.

Calculated values
DFT formation energy = 0.54 eV/f.u.
SG = Cmmm (65)
Volume = 57.1 Å³/f.u.
Uncorrected energy = -10.594 eV per atom
Total magnetization = 0.7 μB/cell
Mass density = 15.38 g cm⁻³
Density of states at the Fermi level = 1.142 states/eV per atom
Excess energy over the best structure of this formula in the dataset = 5.1 kJ per mole of atoms

Cell: 4.6792 4.6792 2.7512 Å, 90.00 90.00 108.68°
Positions (direct):
1 Cr 0.0000 0.0000 0.0000
2 Mo 0.5000 0.5000 0.0000
3 Os 0.0000 0.5000 0.5000
4 Os 0.5000 0.0000 0.5000


No. 3
## Cr2MoOs (PBE)

Data for a relaxed structure of Cr2MoOs.

Calculated values
DFT formation energy = 0.92 eV/f.u.
SG = I-4m2 (119)
Volume = 54.5 Å³/f.u.
Uncorrected energy = -10.096 eV per atom
Total magnetization = 0.2 μB/cell
Mass density = 11.88 g cm⁻³
Density of states at the Fermi level = 1.353 states/eV per atom
Excess energy over the best structure of this formula in the dataset = 14.3 kJ per mole of atoms

Cell: 4.6919 4.6919 4.6919 Å, 132.83 132.83 68.92°
Positions (direct):
1 Cr 0.0000 0.0000 0.0000
2 Cr 0.7500 0.2500 0.5000
3 Mo 0.2500 0.7500 0.5000
4 Os 0.5000 0.5000 0.0000


No. 4
## Cr2MoOs (PBE)

Data for a relaxed structure of Cr2MoOs.

Calculated values
DFT formation energy = 1.19 eV/f.u.
SG = R3m (160)
Volume = 54.7 Å³/f.u.
Uncorrected energy = -10.030 eV per atom
Total magnetization = 0.0 μB/cell
Mass density = 11.84 g cm⁻³
Density of states at the Fermi level = 1.288 states/eV per atom
Excess energy over the best structure of this formula in the dataset = 20.7 kJ per mole of atoms

Cell: 8.5330 8.5330 8.5330 Å, 18.51 18.51 18.51°
Positions (direct):
1 Cr 0.0000 0.0000 0.0000
2 Cr 0.2650 0.2650 0.2650
3 Mo 0.7561 0.7561 0.7561
4 Os 0.5135 0.5135 0.5135


No. 5
## CrMoOs2 (PBE)

Data for a relaxed structure of CrMoOs2.

Calculated values
DFT formation energy = 0.73 eV/f.u.
SG = P2/m (10)
Volume = 57.2 Å³/f.u.
Uncorrected energy = -10.547 eV per atom
Total magnetization = 0.0 μB/cell
Mass density = 15.34 g cm⁻³
Density of states at the Fermi level = 1.050 states/eV per atom
Excess energy over the best structure of this formula in the dataset = 9.7 kJ per mole of atoms

Cell: 2.7004 4.1891 5.2061 Å, 90.00 103.84 90.00°
Positions (direct):
1 Cr 0.0000 0.0000 0.0000
2 Mo 0.0000 0.0000 0.5000
3 Os 0.3790 0.5000 0.2350
4 Os 0.6210 0.5000 0.7650


No. 6
## Cr3MoOs (PBE)

Data for a relaxed structure of Cr3MoOs.

Calculated values
DFT formation energy = 9.83 eV/f.u.
SG = Pm-3m (221)
Volume = 81.3 Å³/f.u.
Uncorrected energy = -8.221 eV per atom
Total magnetization = 1.0 μB/cell
Mass density = 9.03 g cm⁻³
Density of states at the Fermi level = 1.758 states/eV per atom
Excess energy over the best structure of this formula in the dataset = 36.6 kJ per mole of atoms

Cell: 4.3323 4.3323 4.3323 Å, 90.00 90.00 90.00°
Positions (direct):
1 Cr 0.0000 0.0000 0.5000
2 Cr 0.0000 0.5000 0.0000
3 Cr 0.5000 0.0000 0.0000
4 Mo 0.0000 0.0000 0.0000
5 Os 0.5000 0.5000 0.5000


No. 7
## Cr2MoOs (PBE)

Data for a relaxed structure of Cr2MoOs.

Calculated values
DFT formation energy = 0.88 eV/f.u.
SG = P4/mmm (123)
Volume = 54.4 Å³/f.u.
Uncorrected energy = -10.106 eV per atom
Total magnetization = 0.0 μB/cell
Mass density = 11.91 g cm⁻³
Density of states at the Fermi level = 1.434 states/eV per atom
Excess energy over the best structure of this formula in the dataset = 13.4 kJ per mole of atoms

Cell: 3.8515 3.8515 3.6680 Å, 90.00 90.00 90.00°
Positions (direct):
1 Cr 0.0000 0.5000 0.0000
2 Cr 0.5000 0.0000 0.0000
3 Mo 0.0000 0.0000 0.5000
4 Os 0.5000 0.5000 0.5000


No. 8
## Cr2MoOs (PBE)

Data for a relaxed structure of Cr2MoOs.

Calculated values
DFT formation energy = 0.33 eV/f.u.
SG = P4mm (99)
Volume = 53.6 Å³/f.u.
Uncorrected energy = -10.244 eV per atom
Total magnetization = 0.0 μB/cell
Mass density = 12.08 g cm⁻³
Density of states at the Fermi level = 0.706 states/eV per atom
Excess energy over the best structure of this formula in the dataset = 0.0 kJ per mole of atoms

Cell: 2.9081 2.9081 6.3412 Å, 90.00 90.00 90.00°
Positions (direct):
1 Cr 0.0000 0.0000 0.0000
2 Cr 0.5000 0.5000 0.1918
3 Mo 0.0000 0.0000 0.4625
4 Os 0.5000 0.5000 0.7421